Entry 1:
Here is a relaxed structure of Li6Ir4O11 from the Open Quantum Materials Database. Energies are from GGA-PBE.

Properties
The volume comes out at 211.6 Å³/cell. As for the symmetry: P1. The value obtained for the density is 7.7 g/cm3.

```
Li6Ir4O11
1.0
4.9805 0.0000 0.0000
0.7741 4.9550 0.0000
0.4750 2.2056 8.5756
Li Ir O
6 4 11
Direct
0.0000 0.0000 0.0000 Li
0.0077 0.0103 0.3225 Li
0.2539 0.4936 0.9219 Li
0.4784 0.0177 0.5046 Li
0.5049 0.0016 0.8397 Li
0.7514 0.4831 0.4226 Li
0.2200 0.5117 0.5970 Ir
0.2715 0.5044 0.2475 Ir
0.7272 0.4988 0.0960 Ir
0.7832 0.4980 0.7416 Ir
0.0996 0.2821 0.1242 O
0.1306 0.2871 0.4502 O
0.1348 0.2480 0.7975 O
0.3590 0.7252 0.3993 O
0.3701 0.7516 0.0426 O
0.4215 0.7256 0.7069 O
0.6263 0.2711 0.6280 O
0.6281 0.2445 0.3013 O
0.6325 0.2745 0.9544 O
0.8660 0.7167 0.8957 O
0.9005 0.7183 0.2242 O
```



Entry 2:
Here is a relaxed structure of Li8Ir4O11 from the Open Quantum Materials Database. Energies are from GGA-PBE.

Properties
The volume comes out at 213.0 Å³/cell. As for the symmetry: P1. The value obtained for the density is 7.8 g/cm3.

```
Li8Ir4O11
1.0
5.0064 0.0000 0.0000
0.9251 5.0099 0.0000
0.4550 2.3632 8.4928
Li Ir O
8 4 11
Direct
0.0000 0.0000 0.0000 Li
0.0025 0.6853 0.3284 Li
0.0122 0.3293 0.6691 Li
0.2498 0.4381 0.0813 Li
0.4969 0.1732 0.8471 Li
0.5019 0.5218 0.4922 Li
0.5046 0.8473 0.1618 Li
0.7563 0.9513 0.5841 Li
0.2362 0.1045 0.4099 Ir
0.2858 0.7460 0.7520 Ir
0.7319 0.6010 0.9007 Ir
0.7709 0.2599 0.2551 Ir
0.1071 0.4160 0.8649 O
0.1362 0.0530 0.2002 O
0.1419 0.7339 0.5480 O
0.3734 0.1187 0.6173 O
0.3755 0.8103 0.9578 O
0.3941 0.4504 0.2908 O
0.6116 0.9100 0.3784 O
0.6379 0.2386 0.0489 O
0.8724 0.3221 0.4636 O
0.8727 0.9558 0.7909 O
0.8755 0.6231 0.1230 O
```



Entry 3:
Here is a relaxed structure of Li4Ir4O11 from the Open Quantum Materials Database. Energies are from GGA-PBE.

Properties
The volume comes out at 189.6 Å³/cell. As for the symmetry: Pm. The value obtained for the density is 8.5 g/cm3.

```
Li4Ir4O11
1.0
5.0253 0.0000 0.0000
0.0000 7.2998 0.0000
-0.0064 0.0000 5.1685
Li Ir O
4 4 11
Direct
0.0000 0.0000 0.0000 Li
0.9995 0.5000 0.0788 Li
0.5100 0.5000 0.6030 Li
0.5125 0.0000 0.4943 Li
0.0031 0.2534 0.5380 Ir
0.0031 0.7466 0.5380 Ir
0.5066 0.2504 0.0372 Ir
0.5066 0.7496 0.0372 Ir
0.1728 0.1901 0.2117 O
0.1728 0.8099 0.2117 O
0.3407 0.1896 0.7047 O
0.3407 0.8104 0.7047 O
0.3643 0.5000 0.9717 O
0.6380 0.0000 0.1186 O
0.6801 0.3255 0.3617 O
0.6801 0.6745 0.3617 O
0.8346 0.3217 0.8621 O
0.8346 0.6783 0.8621 O
0.8762 0.0000 0.6239 O
```



Entry 4:
Here is a relaxed structure of Li4Ir2O5 from the Open Quantum Materials Database. Energies are from GGA-PBE.

Properties
The volume comes out at 107.3 Å³/cell. As for the symmetry: Cmmm. The value obtained for the density is 7.6 g/cm3.

```
Li4Ir2O5
1.0
2.1309 -6.0936 0.0000
2.1309 6.0936 0.0000
0.0000 0.0000 4.1308
Li Ir O
4 2 5
Direct
0.0000 0.0000 0.0000 Li
0.1770 0.8230 0.5000 Li
0.5000 0.5000 0.5000 Li
0.8230 0.1770 0.5000 Li
0.3225 0.6775 0.0000 Ir
0.6775 0.3225 0.0000 Ir
0.1511 0.8489 0.0000 O
0.3465 0.6535 0.5000 O
0.5000 0.5000 0.0000 O
0.6535 0.3465 0.5000 O
0.8489 0.1511 0.0000 O
```



Entry 5:
Here is a relaxed structure of Li7IrO6 from the Open Quantum Materials Database. Energies are from GGA-PBE.

Properties
The volume comes out at 124.4 Å³/cell. As for the symmetry: R3. The value obtained for the density is 4.5 g/cm3.

```
Li7IrO6
1.0
2.7492 1.5873 4.7520
-2.7492 1.5873 4.7520
0.0000 -3.1746 4.7520
Li Ir O
7 1 6
Direct
0.0000 0.0000 0.0000 Li
0.1610 0.4212 0.7184 Li
0.1690 0.9304 0.5342 Li
0.4212 0.7184 0.1610 Li
0.5342 0.1690 0.9304 Li
0.7184 0.1610 0.4212 Li
0.9304 0.5342 0.1690 Li
0.6560 0.6560 0.6560 Ir
0.0203 0.7708 0.4198 O
0.2784 0.5805 0.8642 O
0.4198 0.0203 0.7708 O
0.5805 0.8642 0.2784 O
0.7708 0.4198 0.0203 O
0.8642 0.2784 0.5805 O
```



Entry 6:
Here is a relaxed structure of LiIrO4 from the Open Quantum Materials Database. Energies are from GGA-PBE.

Properties
The volume comes out at 57.8 Å³/cell. As for the symmetry: P2/m. The value obtained for the density is 7.6 g/cm3.

```
LiIrO4
1.0
4.1107 0.0000 0.0000
0.0000 3.0337 0.0000
-0.3680 0.0000 4.6329
Li Ir O
1 1 4
Direct
0.0000 0.0000 0.0000 Li
0.5000 0.5000 0.5000 Ir
0.2234 0.0000 0.3749 O
0.3568 0.5000 0.8962 O
0.6432 0.5000 0.1038 O
0.7766 0.0000 0.6251 O
```



Entry 7:
Here is a relaxed structure of Li6Ir4O11 from the Open Quantum Materials Database. Energies are from GGA-PBE.

Properties
The volume comes out at 210.7 Å³/cell. As for the symmetry: P1. The value obtained for the density is 7.8 g/cm3.

```
Li6Ir4O11
1.0
4.9160 0.0000 0.0000
0.7955 4.9887 0.0000
0.2936 2.2593 8.5913
Li Ir O
6 4 11
Direct
0.0000 0.0000 0.0000 Li
0.0021 0.0058 0.6662 Li
0.2387 0.4935 0.5916 Li
0.5050 0.0091 0.1508 Li
0.5095 0.0036 0.5138 Li
0.7546 0.5045 0.0818 Li
0.2408 0.5084 0.2698 Ir
0.2733 0.5065 0.9111 Ir
0.7237 0.5035 0.7559 Ir
0.7529 0.5007 0.4029 Ir
0.0982 0.2844 0.7878 O
0.1363 0.2573 0.4670 O
0.1380 0.2881 0.1039 O
0.3624 0.7557 0.7027 O
0.3705 0.7229 0.0647 O
0.5988 0.2683 0.2865 O
0.6213 0.2906 0.6041 O
0.6344 0.2510 0.9595 O
0.8549 0.7203 0.5546 O
0.8713 0.7578 0.2117 O
0.8973 0.7259 0.8789 O
```



Entry 8:
Here is a relaxed structure of Li7IrO6 from the Open Quantum Materials Database. Energies are from GGA-PBE.

Properties
The volume comes out at 133.4 Å³/cell. As for the symmetry: R-3m. The value obtained for the density is 4.2 g/cm3.

```
Li7IrO6
1.0
4.0499 2.3382 2.3476
-4.0499 2.3382 2.3476
0.0000 -4.6764 2.3476
Li Ir O
7 1 6
Direct
0.0000 0.0000 0.0000 Li
0.1599 0.5000 0.8401 Li
0.1599 0.8401 0.5000 Li
0.5000 0.1599 0.8401 Li
0.5000 0.8401 0.1599 Li
0.8401 0.1599 0.5000 Li
0.8401 0.5000 0.1599 Li
0.5000 0.5000 0.5000 Ir
0.2209 0.2209 0.5718 O
0.2209 0.5718 0.2209 O
0.4282 0.7791 0.7791 O
0.5718 0.2209 0.2209 O
0.7791 0.4282 0.7791 O
0.7791 0.7791 0.4282 O
```



Number 1: total energy -6.02 eV per atom. Number 2: total energy -5.89 eV per atom. Number 3: total energy -6.17 eV per atom. Number 4: total energy -5.62 eV per atom. Number 5: total energy -5.31 eV per atom. Number 6: total energy -5.92 eV per atom. Number 7: total energy -6.01 eV per atom. Number 8: total energy -5.24 eV per atom.